AlIn2Cl: relaxed, PBE.

Calculated values
Distance to the lowest polymorph of the same formula   4.7 kJ per mole of atoms
Raw total energy   -11.806 eV per formula unit
Density of states at the Fermi level   1.71 states/eV/f.u.

Cell and atoms, written as extended XYZ:
```
4
Lattice="-1.102 -3.892 3.599 4.238 1.561 2.986 -1.908 2.053 1.635" Properties=species:S:1:pos:R:3 pbc="T T T"
In 0.000 0.000 0.000
Al -1.505 -0.919 2.617
In 1.568 -1.165 3.293
Cl 1.165 1.807 2.311
```



SrSiHAu2: relaxed, PBE.

Calculated values
Raw total energy   -18.356 eV per formula unit
Density of states at the Fermi level   1.10 states/eV/f.u.

Cell and atoms, written as extended XYZ:
```
5
Lattice="5.090 0.000 0.000 0.000 5.090 0.000 0.000 0.000 3.828" Properties=species:S:1:pos:R:3 pbc="T T T"
Si 0.000 0.000 0.000
H 0.000 0.000 1.914
Au 2.545 0.000 0.000
Sr 2.545 2.545 1.914
Au 0.000 2.545 0.000
```



La2ClF: relaxed, PBE.

Calculated values
Distance to the lowest polymorph of the same formula   0.0 kJ per mole of atoms
Raw total energy   -21.241 eV per formula unit
Density of states at the Fermi level   2.83 states/eV/f.u.

Cell and atoms, written as extended XYZ:
```
4
Lattice="3.791 0.000 0.000 1.896 3.283 0.000 1.896 1.094 9.098" Properties=species:S:1:pos:R:3 pbc="T T T"
La 1.896 1.094 6.796
F 0.000 0.000 0.000
Cl 3.791 2.189 4.549
La 5.687 3.283 2.302
```



ReNiW2Cl: relaxed, PBE.

Calculated values
Raw total energy   -36.099 eV per formula unit
Density of states at the Fermi level   5.76 states/eV/f.u.

Cell and atoms, written as extended XYZ:
```
5
Lattice="4.806 0.000 0.000 0.000 4.595 0.000 0.000 0.000 4.806" Properties=species:S:1:pos:R:3 pbc="T T T"
Cl 2.403 2.298 2.403
W 2.403 0.000 0.000
W 0.000 0.000 2.403
Ni 0.000 2.298 0.000
Re 0.000 0.000 0.000
```



Mg2H3Pd8: relaxed, PBE.

Calculated values
Raw total energy   -57.335 eV per formula unit
Density of states at the Fermi level   4.04 states/eV/f.u.

Cell and atoms, written as extended XYZ:
```
13
Lattice="-4.500 -0.489 1.411 1.005 -5.519 1.289 3.075 4.626 4.555" Properties=species:S:1:pos:R:3 pbc="T T T"
Pd -0.142 2.682 5.052
H 0.340 -1.865 0.436
Pd 0.370 -0.127 5.708
Pd -0.789 -1.256 1.548
Pd 2.219 1.329 3.958
Pd -2.639 -2.711 3.297
Pd -0.278 -4.065 2.204
Mg -0.047 -2.088 3.948
Pd 2.589 -1.471 4.532
H 0.665 -3.653 0.853
Pd -3.008 0.089 2.724
H -2.250 -0.245 0.706
Mg -0.373 0.705 3.308
```



Ag3Sn5Te12: relaxed, PBE.

Calculated values
Raw total energy   -65.067 eV per formula unit
Density of states at the Fermi level   18.65 states/eV/f.u.

Cell and atoms, written as extended XYZ:
```
80
Lattice="15.308 0.000 0.000 -5.103 14.432 0.000 -5.103 -7.216 12.499" Properties=species:S:1:pos:R:3 pbc="T T T"
Te 7.080 7.920 6.915
Te -5.098 5.707 11.833
Sn 3.827 10.824 3.125
Te 6.637 11.074 3.401
Te 9.188 -4.874 10.859
Sn 6.378 3.608 9.374
Te 9.631 0.704 5.584
Te 3.126 1.579 4.067
Te -4.528 6.512 6.915
Sn -3.827 8.118 4.687
Te 6.637 2.342 1.640
Te 3.568 6.199 5.041
Te 7.207 7.351 2.182
Ag -1.276 6.314 7.812
Te -0.447 5.259 0.975
Te 1.534 1.017 7.457
Sn -2.551 -3.608 6.249
Te 5.550 -1.823 11.291
Ag 1.276 7.216 3.125
Te -5.550 0.135 10.316
Te -2.556 -5.707 11.833
Ag 11.481 0.000 3.125
Sn -1.276 3.608 3.125
Te 2.556 -2.277 7.224
Sn 1.276 4.510 10.936
Ag 3.827 8.118 7.812
Te 2.999 5.393 1.208
Te -2.104 -0.135 10.316
Te 6.120 -1.017 7.457
Ag -3.827 2.706 10.936
Te 1.977 5.637 8.432
Te -2.556 3.430 7.889
Te -1.534 4.874 10.859
Te -6.120 3.858 9.097
Sn 8.930 -0.902 7.812
Ag 8.930 9.922 1.562
Sn 1.276 -3.608 9.374
Te 5.677 6.340 9.651
Sn 5.103 7.216 0.000
Sn -1.276 11.726 1.562
Sn 7.654 0.000 0.000
Te 5.550 1.957 11.524
Te 7.658 3.786 4.609
Te 4.528 -1.580 4.067
Te 2.547 9.493 5.275
Ag -6.378 7.216 9.374
Te 10.201 1.510 0.666
Te 2.104 1.823 11.291
Ag 8.930 4.510 1.562
Sn 6.378 -4.510 10.936
Sn -1.276 0.902 7.812
Te -4.085 12.091 1.640
Te -3.126 8.092 9.651
Ag 3.827 0.000 9.374
Sn 0.000 0.000 0.000
Te -0.447 9.039 1.208
Ag -3.827 -2.706 10.936
Sn 6.378 6.314 4.687
Te 10.653 7.081 2.182
Te 7.658 12.923 0.666
Te -1.534 -3.858 9.097
Te -1.977 -0.704 5.584
Te 2.104 -1.957 11.524
Sn 2.551 3.608 6.249
Te 5.098 2.277 7.224
Te 0.574 8.796 8.432
Ag 6.378 0.902 4.687
Te 0.004 4.939 5.275
Sn 3.827 2.706 1.562
Sn -5.103 3.608 6.249
Te -0.574 0.876 2.848
Te -5.107 10.646 4.609
Sn 5.103 -3.608 6.249
Te 11.222 3.359 3.401
Sn -2.551 7.216 0.000
Ag 1.276 -0.902 4.687
Te 10.210 -3.430 7.889
Te 2.999 9.174 0.975
Te 8.228 -0.876 2.848
Te -1.017 8.233 5.041
```



CsTl3Sn2: relaxed, PBE.

Calculated values
Calculated formation energy   -45 meV per atom
Raw total energy   -16.226 eV per formula unit
Density of states at the Fermi level   2.49 states/eV/f.u.

Cell and atoms, written as extended XYZ:
```
12
Lattice="6.651 0.000 0.000 0.000 8.339 -0.005 0.000 -1.680 8.168" Properties=species:S:1:pos:R:3 pbc="T T T"
Tl 1.663 6.598 4.423
Sn 3.325 0.433 6.445
Sn 0.000 0.433 6.445
Tl 1.663 6.220 7.625
Cs 4.988 4.507 5.526
Sn 0.000 6.226 1.719
Tl 4.988 0.439 0.539
Tl 4.988 3.652 0.812
Sn 3.325 6.226 1.719
Tl 4.988 0.061 3.741
Tl 1.663 3.007 7.352
Cs 1.663 2.152 2.638
```



Dy3HgH: relaxed, PBE.

Calculated values
Distance to the lowest polymorph of the same formula   6.1 kJ per mole of atoms
Raw total energy   -18.974 eV per formula unit
Density of states at the Fermi level   4.35 states/eV/f.u.

Cell and atoms, written as extended XYZ:
```
10
Lattice="-3.339 -1.235 0.103 0.927 -1.980 6.324 -3.363 9.230 1.666" Properties=species:S:1:pos:R:3 pbc="T T T"
Dy -2.595 4.746 3.597
Dy -3.181 1.269 4.496
Dy -5.361 7.044 3.056
Dy -2.130 3.764 6.899
H -4.622 4.982 2.298
H -1.154 1.033 5.795
Dy -0.414 -1.029 5.038
Hg -4.639 5.328 5.906
Dy -3.646 2.251 1.195
Hg -1.137 0.687 2.187
```



LaIrRu2: relaxed, PBE.

Calculated values
Calculated formation energy   483 meV per atom
Distance to the lowest polymorph of the same formula   33.0 kJ per mole of atoms
Raw total energy   -30.409 eV per formula unit
Density of states at the Fermi level   8.22 states/eV/f.u.

Cell and atoms, written as extended XYZ:
```
4
Lattice="9.850 -0.010 -0.006 9.438 2.819 -0.006 9.438 1.375 2.462" Properties=species:S:1:pos:R:3 pbc="T T T"
La 21.551 3.140 1.838
Ru 28.385 4.135 2.421
Ru 7.216 1.051 0.616
Ir 14.661 2.136 1.251
```



CeErNi2Ge2: relaxed, PBE.

Calculated values
Calculated formation energy   -752 meV per atom
Raw total energy   -35.809 eV per formula unit
Density of states at the Fermi level   7.57 states/eV/f.u.

Cell and atoms, written as extended XYZ:
```
6
Lattice="-3.124 0.819 -2.680 -0.761 -2.173 3.510 -1.419 6.262 3.569" Properties=species:S:1:pos:R:3 pbc="T T T"
Ni -2.584 3.392 4.050
Ge -3.390 4.470 2.032
Ge -1.915 0.439 2.366
Er -0.710 3.131 1.784
Ce 0.000 0.000 0.000
Ni -2.721 1.516 0.348
```



Dy4Y9Er11: relaxed, PBE.

Calculated values
Calculated formation energy   44 meV per atom
Raw total energy   -125.727 eV per formula unit
Density of states at the Fermi level   30.52 states/eV/f.u.

Cell and atoms, written as extended XYZ:
```
24
Lattice="3.652 0.000 0.000 0.000 13.821 -5.866 0.000 0.038 15.015" Properties=species:S:1:pos:R:3 pbc="T T T"
Er 0.000 11.626 -2.540
Dy 1.826 10.460 3.881
Y 1.826 2.279 8.527
Y 1.826 8.737 -1.256
Er 0.000 9.811 6.477
Er 0.000 2.233 11.689
Dy 1.826 3.399 5.268
Dy 1.826 7.680 8.093
Er 0.000 8.764 1.796
Er 0.000 0.000 0.000
Y 1.826 0.958 2.815
Er 0.000 8.231 10.856
Y 1.826 2.965 -0.226
Y 1.826 6.930 4.574
Er 0.000 5.096 7.353
Dy 1.826 6.180 1.056
Er 0.000 13.217 3.303
Er 0.000 0.642 5.846
Y 1.826 5.123 10.405
Y 1.826 12.902 6.334
Er 0.000 5.628 -1.707
Er 0.000 4.048 2.672
Y 1.826 11.581 0.622
Y 1.826 10.894 9.375
```



Tb4CeSn4: relaxed, PBE.

Calculated values
Calculated formation energy   -396 meV per atom
Raw total energy   -44.027 eV per formula unit
Density of states at the Fermi level   16.36 states/eV/f.u.

Cell and atoms, written as extended XYZ:
```
18
Lattice="-3.339 -4.274 2.919 7.331 -1.203 6.624 -4.026 7.065 5.739" Properties=species:S:1:pos:R:3 pbc="T T T"
Tb -0.689 -3.204 6.115
Tb 1.913 0.943 11.466
Tb 4.246 1.325 8.197
Tb -1.662 3.616 4.795
Sn -0.475 1.444 2.855
Sn -4.370 1.891 9.481
Sn 1.656 -3.732 8.142
Tb -2.667 -0.275 4.445
Sn 0.168 3.083 9.919
Sn 2.318 -0.951 9.041
Sn 3.119 3.574 10.085
Tb 3.067 -1.733 6.068
Ce -0.017 0.794 7.641
Tb -2.382 4.243 8.585
Sn -3.013 1.695 6.817
Sn 0.458 -0.649 4.786
Tb -1.964 1.440 11.456
Ce 0.000 0.000 0.000
```